[1]
Material: Zr2Ta2Bi
Method: DFT, PBE
State: optimized geometry

The space group is I4/mmm (No. 139) and the conventional cell measures 4.2470, 4.2470 and 13.2738 Å, with angles of 90.00, 90.00 and 90.00 degrees. Symmetry generates all atoms from Zr at (0.0000, 0.5000, 0.2500), Ta at (0.0000, 0.0000, 0.0960) and Bi at (0.0000, 0.0000, 0.5000).

The theoretical density comes out at 10450 kg/m3. The calculation puts the calculated volume at 23.94 Å³/atom. As for the energy of formation from the pure elements: 0.781 eV per atom. The raw total energy is -8.1557 eV per atom. The value obtained for the energy above the most stable polymorph in this dataset is 532 meV/atom.

[2]
Material: ZrTa2Bi
Method: DFT, PBE
State: optimized geometry

The space group is I-42d (No. 122) and the conventional cell measures 4.1346, 4.1346 and 21.1738 Å, with angles of 90.00, 90.00 and 90.00 degrees. Symmetry generates all atoms from Zr at (0.0000, 0.0000, 0.0000), Ta at (0.2488, 0.2500, 0.1250) and Bi at (0.0000, 0.0000, 0.5000).

The theoretical density comes out at 12150 kg/m3. The calculation puts the calculated volume at 22.62 Å³/atom. As for the energy of formation from the pure elements: 0.582 eV per atom. The raw total energy is -8.4521 eV per atom.

[3]
Material: Zr3TaBi
Method: DFT, PBE
State: optimized geometry

The space group is Pm-3m (No. 221) and the conventional cell measures 5.2859, 5.2859 and 5.2859 Å, with angles of 90.00, 90.00 and 90.00 degrees. Symmetry generates all atoms from Zr at (0.0000, 0.0000, 0.5000), Ta at (0.5000, 0.5000, 0.5000) and Bi at (0.0000, 0.0000, 0.0000).

The theoretical density comes out at 7461 kg/m3. The calculation puts the calculated volume at 29.54 Å³/atom. As for the energy of formation from the pure elements: 1.449 eV per atom. The raw total energy is -6.8263 eV per atom.

[4]
Material: Tb5Bi2
Method: DFT, PBE
State: optimized geometry

The space group is C2/c (No. 15) and the conventional cell measures 16.2446, 6.3950 and 8.4497 Å, with angles of 90.00, 95.82 and 90.00 degrees. Symmetry generates all atoms from Tb at (0.0000, 0.1749, 0.2500), Tb at (0.1039, 0.3621, 0.9387), Tb at (0.2260, 0.1040, 0.3121) and Bi at (0.0988, 0.1733, 0.5851).

The theoretical density comes out at 9223 kg/m3. The calculation puts the calculated volume at 31.19 Å³/atom. As for the energy of formation from the pure elements: -0.426 eV per atom. The raw total energy is -4.8425 eV per atom.

[5]
Material: TbBi
Method: DFT, PBE
State: optimized geometry

The space group is Cmcm (No. 63) and the conventional cell measures 4.4714, 7.7306 and 7.6416 Å, with angles of 90.00, 90.00 and 90.00 degrees. Symmetry generates all atoms from Tb at (0.0000, 0.0000, 0.0000) and Bi at (0.0000, 0.3335, 0.2500).

The theoretical density comes out at 9251 kg/m3. The calculation puts the calculated volume at 33.02 Å³/atom. As for the energy of formation from the pure elements: -0.817 eV per atom. The raw total energy is -5.0724 eV per atom.

[6]
Material: Tb4Bi3
Method: DFT, PBE
State: optimized geometry

The space group is I-43d (No. 220) and the conventional cell measures 9.4215, 9.4215 and 9.4215 Å, with angles of 90.00, 90.00 and 90.00 degrees. Symmetry generates all atoms from Tb at (0.0731, 0.4269, 0.5731) and Bi at (0.0000, 0.2500, 0.8750).

The theoretical density comes out at 10028 kg/m3. The calculation puts the calculated volume at 29.87 Å³/atom. As for the energy of formation from the pure elements: -0.750 eV per atom. The raw total energy is -5.0589 eV per atom.